1.
# Ce2YGa6 | Alexandria via LeMat-Bulk | PBE-GGA | relaxed
# - Energy of formation from the pure elements: -3.601 eV/f.u.
# - Total magnetic moment: 0.93 Bohr magnetons per cell
data_Ce2YGa6
_cell_length_a 4.443
_cell_length_b 7.081
_cell_length_c 13.036
_cell_angle_alpha 90.00
_cell_angle_beta 90.00
_cell_angle_gamma 90.00
_space_group_name_H-M_alt 'I m m m'
_space_group_IT_number 71
_space_group_name_Hall '-I 2 2'
loop_
_atom_site_label
_atom_site_fract_x
_atom_site_fract_y
_atom_site_fract_z
Ce1 0.000 0.000 0.107
Y1 0.000 0.500 0.000
Ga1 0.000 0.194 0.309
Ga2 0.000 0.289 0.500

2.
# ZrMoCl | Alexandria via LeMat-Bulk | PBE-GGA | relaxed
# - Formation energy (no corrections): -0.094 eV/f.u.
# - Total magnetic moment: 0.00 Bohr magnetons per cell
data_ZrMoCl
_cell_length_a 3.448
_cell_length_b 5.034
_cell_length_c 14.464
_cell_angle_alpha 90.00
_cell_angle_beta 90.00
_cell_angle_gamma 90.00
_space_group_name_H-M_alt 'F m m 2'
_space_group_IT_number 42
_space_group_name_Hall 'F 2 -2'
loop_
_atom_site_label
_atom_site_fract_x
_atom_site_fract_y
_atom_site_fract_z
Zr1 0.000 0.000 0.000
Mo1 0.000 0.000 0.356
Cl1 0.000 0.000 0.639

3.
# Li15Tl4Ga | Alexandria via LeMat-Bulk | PBE-GGA | relaxed
# - Energy of formation from the pure elements: -3.663 eV/f.u.
# - Total magnetic moment: 0.00 Bohr magnetons per cell
data_Li15Tl4Ga
_cell_length_a 4.092
_cell_length_b 4.092
_cell_length_c 22.334
_cell_angle_alpha 90.00
_cell_angle_beta 90.00
_cell_angle_gamma 90.00
_space_group_name_H-M_alt 'P 4/m m m'
_space_group_IT_number 123
_space_group_name_Hall '-P 4 2'
loop_
_atom_site_label
_atom_site_fract_x
_atom_site_fract_y
_atom_site_fract_z
Li1 0.000 0.000 0.000
Li2 0.000 0.000 0.193
Li3 0.000 0.000 0.397
Li4 0.000 0.500 0.092
Li5 0.000 0.500 0.296
Li6 0.000 0.500 0.500
Tl1 0.500 0.500 0.193
Tl2 0.500 0.500 0.398
Ga1 0.500 0.500 0.000

4.
# HfFe2Pt5 | Alexandria via LeMat-Bulk | PBE-GGA | relaxed
# - Energy of formation from the pure elements: -3.459 eV/f.u.
# - Total magnetic moment: 14.38 Bohr magnetons per cell
data_HfFe2Pt5
_cell_length_a 5.500
_cell_length_b 10.054
_cell_length_c 4.644
_cell_angle_alpha 90.00
_cell_angle_beta 90.00
_cell_angle_gamma 90.00
_space_group_name_H-M_alt 'P b a m'
_space_group_IT_number 55
loop_
_space_group_symop_operation_xyz
'x,y,z'
'-x,-y,-z'
'-x,-y,z'
'x,y,-z'
'x+1/2,-y+1/2,-z'
'-x+1/2,y+1/2,z'
'-x+1/2,y+1/2,-z'
'x+1/2,-y+1/2,z'
loop_
_atom_site_label
_atom_site_fract_x
_atom_site_fract_y
_atom_site_fract_z
Hf1 0.000 0.000 0.000
Fe1 0.165 0.352 0.500
Pt1 0.000 0.500 0.000
Pt2 0.200 0.095 0.500
Pt3 0.237 0.754 0.000

5.
# Zn2NiOs | Alexandria via LeMat-Bulk | PBE-GGA | relaxed
# - Energy of formation from the pure elements: 0.170 eV/f.u.
# - Total magnetic moment: 0.00 Bohr magnetons per cell
data_Zn2NiOs
_cell_length_a 2.6930
_cell_length_b 2.6930
_cell_length_c 25.9321
_cell_angle_alpha 90.00
_cell_angle_beta 90.00
_cell_angle_gamma 120.00
_space_group_name_H-M_alt 'R 3 m'
_space_group_IT_number 160
_space_group_name_Hall 'R 3 -2"'
loop_
_atom_site_label
_atom_site_fract_x
_atom_site_fract_y
_atom_site_fract_z
Zn1 0.0000 0.0000 0.0000
Zn2 0.0000 0.0000 0.2431
Ni1 0.0000 0.0000 0.7449
Os1 0.0000 0.0000 0.4891

6.
# ZrTlRe2 | Alexandria via LeMat-Bulk | PBE-GGA | relaxed
# - Energy of formation from the pure elements: 1.351 eV/f.u.
# - Total magnetic moment: 0.00 Bohr magnetons per cell
data_ZrTlRe2
_cell_length_a 3.039
_cell_length_b 4.023
_cell_length_c 6.048
_cell_angle_alpha 90.00
_cell_angle_beta 90.06
_cell_angle_gamma 90.00
_space_group_name_H-M_alt 'P 1 m 1'
_space_group_IT_number 6
loop_
_space_group_symop_operation_xyz
'x,y,z'
'x,-y,z'
loop_
_atom_site_label
_atom_site_fract_x
_atom_site_fract_y
_atom_site_fract_z
Zr1 0.000 0.000 0.000
Tl1 0.499 0.500 0.714
Re1 0.501 0.500 0.243
Re2 0.997 0.000 0.431

7.
# Tb2Ag3Au2 | Alexandria via LeMat-Bulk | PBE-GGA | relaxed
# - Energy of formation from the pure elements: -3.116 eV/f.u.
# - Total magnetic moment: 0.00 Bohr magnetons per cell
data_Tb2Ag3Au2
_cell_length_a 4.073
_cell_length_b 20.847
_cell_length_c 3.622
_cell_angle_alpha 90.00
_cell_angle_beta 90.00
_cell_angle_gamma 90.00
_space_group_name_H-M_alt 'C m m m'
_space_group_IT_number 65
_space_group_name_Hall '-C 2 2'
loop_
_atom_site_label
_atom_site_fract_x
_atom_site_fract_y
_atom_site_fract_z
Tb1 0.000 0.150 0.000
Ag1 0.000 0.000 0.000
Ag2 0.000 0.434 0.500
Au1 0.000 0.295 0.500

8.
# RbLa2SnP | Alexandria via LeMat-Bulk | PBE-GGA | relaxed
# - Energy of formation from the pure elements: -1.414 eV/f.u.
# - Total magnetic moment: 0.00 Bohr magnetons per cell
data_RbLa2SnP
_cell_length_a 5.719
_cell_length_b 5.719
_cell_length_c 5.471
_cell_angle_alpha 90.00
_cell_angle_beta 90.00
_cell_angle_gamma 90.00
_space_group_name_H-M_alt 'P 4/m m m'
_space_group_IT_number 123
_space_group_name_Hall '-P 4 2'
loop_
_atom_site_label
_atom_site_fract_x
_atom_site_fract_y
_atom_site_fract_z
Rb1 0.000 0.000 0.000
La1 0.000 0.500 0.500
Sn1 0.500 0.500 0.000
P1 0.500 0.500 0.500

9.
# Zn5Te | Alexandria via LeMat-Bulk | PBE-GGA | relaxed
# - Formation energy (no corrections): 1.216 eV/f.u.
# - Total magnetic moment: 0.00 Bohr magnetons per cell
data_Zn5Te
_cell_length_a 7.627
_cell_length_b 7.627
_cell_length_c 7.627
_cell_angle_alpha 90.00
_cell_angle_beta 90.00
_cell_angle_gamma 90.00
_space_group_name_H-M_alt 'F -4 3 m'
_space_group_IT_number 216
_space_group_name_Hall 'F -4 2 3'
loop_
_atom_site_label
_atom_site_fract_x
_atom_site_fract_y
_atom_site_fract_z
Zn1 0.000 0.000 0.000
Zn2 0.125 0.125 0.625
Te1 0.250 0.250 0.250

10.
# TlAg2Au2 | Alexandria via LeMat-Bulk | PBE-GGA | relaxed
# - Energy of formation from the pure elements: 0.433 eV/f.u.
# - Total magnetic moment: 0.00 Bohr magnetons per cell
data_TlAg2Au2
_cell_length_a 3.958
_cell_length_b 3.958
_cell_length_c 13.918
_cell_angle_alpha 90.00
_cell_angle_beta 90.00
_cell_angle_gamma 90.00
_space_group_name_H-M_alt 'I 4/m m m'
_space_group_IT_number 139
_space_group_name_Hall '-I 4 2'
loop_
_atom_site_label
_atom_site_fract_x
_atom_site_fract_y
_atom_site_fract_z
Tl1 0.000 0.000 0.000
Ag1 0.000 0.000 0.400
Au1 0.000 0.500 0.250

11.
# AcLa6Pr5 | Alexandria via LeMat-Bulk | PBE-GGA | relaxed
# - Energy of formation from the pure elements: 0.176 eV/f.u.
# - Total magnetic moment: 0.00 Bohr magnetons per cell
data_AcLa6Pr5
_cell_length_a 5.307
_cell_length_b 15.936
_cell_length_c 10.576
_cell_angle_alpha 90.00
_cell_angle_beta 90.07
_cell_angle_gamma 90.00
_space_group_name_H-M_alt 'C 1 2/m 1'
_space_group_IT_number 12
loop_
_space_group_symop_operation_xyz
'x,y,z'
'-x,-y,-z'
'-x,y,-z'
'x,-y,z'
'x+1/2,y+1/2,z'
'-x+1/2,-y+1/2,-z'
'-x+1/2,y+1/2,-z'
'x+1/2,-y+1/2,z'
loop_
_atom_site_label
_atom_site_fract_x
_atom_site_fract_y
_atom_site_fract_z
Ac1 0.000 0.000 0.000
La1 0.000 0.167 0.253
La2 0.000 0.500 0.255
Pr1 0.000 0.000 0.500
Pr2 0.000 0.331 0.000
Pr3 0.000 0.333 0.500

12.
# NdGe2Pd4 | Alexandria via LeMat-Bulk | PBE-GGA | relaxed
# - Energy of formation from the pure elements: -5.088 eV/f.u.
# - Total magnetic moment: 0.00 Bohr magnetons per cell
data_NdGe2Pd4
_cell_length_a 7.936
_cell_length_b 7.936
_cell_length_c 3.952
_cell_angle_alpha 90.00
_cell_angle_beta 90.00
_cell_angle_gamma 90.00
_space_group_name_H-M_alt 'P 42/m n m'
_space_group_IT_number 136
_space_group_name_Hall '-P 4n 2n'
loop_
_atom_site_label
_atom_site_fract_x
_atom_site_fract_y
_atom_site_fract_z
Nd1 0.000 0.000 0.000
Ge1 0.221 0.221 0.500
Pd1 0.083 0.667 0.500

Copy entry 10 word for word.
# TlAg2Au2 | Alexandria via LeMat-Bulk | PBE-GGA | relaxed
# - Energy of formation from the pure elements: 0.433 eV/f.u.
# - Total magnetic moment: 0.00 Bohr magnetons per cell
data_TlAg2Au2
_cell_length_a 3.958
_cell_length_b 3.958
_cell_length_c 13.918
_cell_angle_alpha 90.00
_cell_angle_beta 90.00
_cell_angle_gamma 90.00
_space_group_name_H-M_alt 'I 4/m m m'
_space_group_IT_number 139
_space_group_name_Hall '-I 4 2'
loop_
_atom_site_label
_atom_site_fract_x
_atom_site_fract_y
_atom_site_fract_z
Tl1 0.000 0.000 0.000
Ag1 0.000 0.000 0.400
Au1 0.000 0.500 0.250